1.
VASP calculation (GGA-PBEsol) on VB2Ru after structural relaxation.

Lattice parameters (Å, degrees): 2.9002 4.2853 5.9134 90.00 90.00 90.00
Positions (direct):
V1 0.0000 0.1318 0.0000
V2 0.0000 0.8682 0.5000
B1 0.0000 0.3564 0.6526
B2 0.0000 0.6436 0.1526
B3 0.5000 0.1415 0.7145
B4 0.5000 0.8585 0.2145
Ru1 0.5000 0.3578 0.3607
Ru2 0.5000 0.6422 0.8607

Output
Calculated volume   9.19 Å³ per atom
Spin magnetization   0.0 Bohr magnetons per cell
Theoretical density   7.846 Mg/m³
VASP energy   -72.07 eV/cell

2.
VASP calculation (GGA-PBEsol) on Y2B6Ru after structural relaxation.

Lattice parameters (Å, degrees): 9.0918 11.4537 3.6150 90.00 90.00 90.00
Positions (direct):
Y1 0.0564 0.1278 0.0000
Y2 0.1774 0.4140 0.0000
Y3 0.3226 0.9140 0.0000
Y4 0.4436 0.6278 0.0000
Y5 0.5564 0.3722 0.0000
Y6 0.6774 0.0860 0.0000
Y7 0.8226 0.5860 0.0000
Y8 0.9436 0.8722 0.0000
B1 0.0165 0.2874 0.5000
B2 0.0539 0.5672 0.5000
B3 0.1085 0.9701 0.5000
B4 0.1315 0.8146 0.5000
B5 0.2094 0.2335 0.5000
B6 0.2477 0.5802 0.5000
B7 0.2523 0.0802 0.5000
B8 0.2906 0.7335 0.5000
B9 0.3685 0.3146 0.5000
B10 0.3915 0.4701 0.5000
B11 0.4461 0.0672 0.5000
B12 0.4835 0.7874 0.5000
B13 0.5165 0.2126 0.5000
B14 0.5539 0.9328 0.5000
B15 0.6085 0.5299 0.5000
B16 0.6315 0.6854 0.5000
B17 0.7094 0.2665 0.5000
B18 0.7477 0.9198 0.5000
B19 0.7523 0.4198 0.5000
B20 0.7906 0.7665 0.5000
B21 0.8685 0.1854 0.5000
B22 0.8915 0.0299 0.5000
B23 0.9461 0.4328 0.5000
B24 0.9835 0.7126 0.5000
Ru1 0.1379 0.6789 0.0000
Ru2 0.3621 0.1789 0.0000
Ru3 0.6379 0.8211 0.0000
Ru4 0.8621 0.3211 0.0000

Output
Calculated volume   10.46 Å³ per atom
Spin magnetization   0.0 Bohr magnetons per cell
Theoretical density   6.065 Mg/m³
VASP energy   -290.25 eV/cell